(1)
Nd2Dy4Sn3O2 | PBE-GGA | relaxed

Cell lengths 4.6685, 4.6685, 25.5039 Å; angles 90.00, 90.00, 90.00 degrees
Last column: nearest neighbours and their distance in Å.
Space group I4/mmm (No. 139)
Symmetry-distinct sites (fractional):
Nd (0.0000, 0.0000, 0.1950)  1 O 2.60
Dy (0.0000, 0.5000, 0.0819)  2 O 2.35
Sn (0.0000, 0.0000, 0.3253)  5 Nd 3.32-3.34, 4 Dy 3.32
Sn (0.0000, 0.0000, 0.5000)  8 Dy 3.13
O (0.0000, 0.0000, 0.0931)  4 Dy 2.35, 1 Nd 2.60

formation energy (no corrections) = -1537 meV/atom
D(E_F) = 0.6907 states/eV per atom
energy = -6.07 eV/atom

=====

(2)
NdDy2TaO8 | PBE-GGA | relaxed

Cell lengths 7.1688, 7.2145, 7.0331 Å; angles 90.00, 90.00, 90.00 degrees
Last column: nearest neighbours and their distance in Å.
Space group Cmmm (No. 65)
Symmetry-distinct sites (fractional):
Nd (0.0000, 0.0000, 0.0000)  6 O 2.28-2.44
Dy (0.0000, 0.5000, 0.2571)  6 O 2.23-2.32
Ta (0.0000, 0.0000, 0.5000)  6 O 2.00-2.01
O (0.0000, 0.1866, 0.2888)  1 Ta 2.00
O (0.1819, 0.5000, 0.0000)  2 Dy 2.23, 1 Nd 2.28
O (0.2193, 0.5000, 0.5000)  1 Ta 2.01

formation energy (no corrections) = -2874 meV/atom
D(E_F) = 0.6645 states/eV per atom
energy = -8.33 eV/atom

=====

(3)
NdDy2TcO8 | PBE-GGA | relaxed

Cell lengths 7.1702, 7.2020, 6.8517 Å; angles 90.00, 90.00, 90.00 degrees
Last column: nearest neighbours and their distance in Å.
Space group Cmmm (No. 65)
Symmetry-distinct sites (fractional):
Nd (0.0000, 0.0000, 0.0000)  6 O 2.27-2.43
Dy (0.0000, 0.5000, 0.2495)  6 O 2.17-2.41
Tc (0.0000, 0.0000, 0.5000)  6 O 1.91
O (0.0000, 0.2649, 0.5000)  1 Tc 1.91
O (0.0000, 0.3152, 0.0000)  2 Dy 2.17, 1 Nd 2.27
O (0.1841, 0.0000, 0.2981)  1 Tc 1.91

formation energy (no corrections) = -2598 meV/atom
energy = -7.93 eV/atom

=====

(4)
NdDyTe2O8 | PBE-GGA | relaxed

Cell lengths 7.4879, 7.4879, 6.9128 Å; angles 90.00, 90.00, 90.00 degrees
Last column: nearest neighbours and their distance in Å.
Space group I-4m2 (No. 119)
Symmetry-distinct sites (fractional):
Nd (0.0000, 0.0000, 0.0000)  8 O 2.42-2.52
Dy (0.0000, 0.5000, 0.2500)  8 O 2.35-2.48
Te (0.0000, 0.0000, 0.5000)  4 O 1.97
Te (0.0000, 0.5000, 0.7500)  4 O 1.93
O (0.0000, 0.1893, 0.3018)  1 Te 1.97
O (0.0000, 0.3199, 0.9489)  1 Te 1.93

formation energy (no corrections) = -1927 meV/atom
D(E_F) = 0.1515 states/eV per atom
energy = -6.54 eV/atom

=====

(5)
NdDyTeO6 | PBE-GGA | relaxed

Cell lengths 5.6027, 5.6027, 9.8387 Å; angles 90.00, 90.00, 120.00 degrees
Last column: nearest neighbours and their distance in Å.
Space group P-31c (No. 163)
Symmetry-distinct sites (fractional):
Nd (0.0000, 0.0000, 0.0000)  6 O 2.43
Dy (0.3333, 0.6667, 0.2500)  6 O 2.28
Te (0.3333, 0.6667, 0.7500)  6 O 1.96
O (0.0426, 0.3784, 0.6382)  1 Te 1.96

formation energy (no corrections) = -2435 meV/atom
D(E_F) = 0.0000 states/eV per atom
energy = -7.13 eV/atom

=====

(6)
NdDyTeO2 | PBE-GGA | relaxed

Cell lengths 6.9343, 4.1480, 7.9187 Å; angles 90.00, 107.07, 90.00 degrees
Last column: nearest neighbours and their distance in Å.
Space group P2_1/m (No. 11)
Symmetry-distinct sites (fractional):
Nd (0.1780, 0.2500, 0.4245)  4 O 2.34-2.41
Dy (0.1571, 0.2500, 0.9128)  4 O 2.22-2.30
Te (0.4508, 0.7500, 0.7496)  3 Dy 3.21-3.41, 3 Nd 3.26-3.41, 2 O 3.53-3.57
O (0.0092, 0.7500, 0.8843)  3 Dy 2.24-2.30, 1 Nd 2.41
O (0.0166, 0.7500, 0.3721)  1 Dy 2.22, 3 Nd 2.34-2.39

formation energy (no corrections) = -2924 meV/atom
D(E_F) = 0.0000 states/eV per atom
energy = -7.41 eV/atom

=====

(7)
NdDyTe2O | PBE-GGA | relaxed

Cell lengths 4.2166, 4.2166, 15.7917 Å; angles 90.00, 90.00, 90.00 degrees
Last column: nearest neighbours and their distance in Å.
Space group P4/nmm (No. 129, origin choice 2)
Symmetry-distinct sites (fractional):
Nd (0.2500, 0.2500, 0.0704)  4 O 2.38
Dy (0.2500, 0.2500, 0.6291)  5 Te 2.86-3.06
Te (0.2500, 0.2500, 0.4154)  5 Dy 3.06-3.37
Te (0.2500, 0.2500, 0.8100)  1 Dy 2.86
O (0.2500, 0.7500, 0.0000)  4 Nd 2.38

formation energy (no corrections) = -2057 meV/atom
D(E_F) = 0.3054 states/eV per atom
energy = -6.18 eV/atom

=====

(8)
NdDy2TeO8 | PBE-GGA | relaxed

Cell lengths 5.0327, 7.0424, 5.0360 Å; angles 90.00, 90.57, 90.00 degrees
Last column: nearest neighbours and their distance in Å.
Space group P2/m (No. 10)
Symmetry-distinct sites (fractional):
Nd (0.0000, 0.0000, 0.0000)  6 O 2.27-2.46
Dy (0.5000, 0.2598, 0.5000)  6 O 2.23-2.32
Te (0.0000, 0.5000, 0.0000)  6 O 1.96
O (0.1832, 0.2944, 0.8152)  1 Te 1.96
O (0.2772, 0.5000, 0.2753)  1 Te 1.96
O (0.3211, 0.0000, 0.3189)  2 Dy 2.23, 1 Nd 2.27

formation energy (no corrections) = -2481 meV/atom
D(E_F) = 0.4045 states/eV per atom
energy = -7.21 eV/atom

=====

(9)
NdDy2TlO | PBE-GGA | relaxed

Cell lengths 4.7879, 4.7879, 5.0067 Å; angles 90.00, 90.00, 90.00 degrees
Last column: nearest neighbours and their distance in Å.
Space group P4/mmm (No. 123)
Symmetry-distinct sites (fractional):
Nd (0.0000, 0.0000, 0.0000)  2 O 2.50
Dy (0.0000, 0.5000, 0.5000)  2 O 2.39
Tl (0.5000, 0.5000, 0.0000)  4 Nd 3.39, 8 Dy 3.46
O (0.0000, 0.0000, 0.5000)  4 Dy 2.39, 2 Nd 2.50

formation energy (no corrections) = -1347 meV/atom
D(E_F) = 0.3437 states/eV per atom
energy = -5.61 eV/atom

=====

(10)
Nd2DyTlO | PBE-GGA | relaxed

Cell lengths 5.0143, 5.0143, 4.7582 Å; angles 90.00, 90.00, 90.00 degrees
Last column: nearest neighbours and their distance in Å.
Space group P4/mmm (No. 123)
Symmetry-distinct sites (fractional):
Nd (0.0000, 0.5000, 0.0000)  2 O 2.51
Dy (0.0000, 0.0000, 0.5000)  2 O 2.38
Tl (0.5000, 0.5000, 0.5000)  8 Nd 3.46, 4 Dy 3.55
O (0.0000, 0.0000, 0.0000)  2 Dy 2.38, 4 Nd 2.51

formation energy (no corrections) = -1345 meV/atom
D(E_F) = 0.3898 states/eV per atom
energy = -5.64 eV/atom

=====

(11)
Nd12DyTl4O3 | PBE-GGA | relaxed

Cell lengths 10.3605, 10.3605, 10.3605 Å; angles 90.00, 90.00, 90.00 degrees
Last column: nearest neighbours and their distance in Å.
Space group Im-3m (No. 229)
Symmetry-distinct sites (fractional):
Nd (0.0000, 0.0000, 0.2750)  1 O 2.33
Nd (0.0000, 0.2500, 0.5000)  2 O 2.59
Dy (0.0000, 0.0000, 0.0000)  6 Nd 2.85
Tl (0.2500, 0.2500, 0.2500)  12 Nd 3.66-3.67
O (0.0000, 0.0000, 0.5000)  6 Nd 2.33-2.59

formation energy (no corrections) = -737 meV/atom
D(E_F) = 0.8532 states/eV per atom
energy = -5.04 eV/atom

=====

(12)
Nd2DyTmO6 | PBE-GGA | relaxed

Cell lengths 5.9317, 5.9317, 15.2153 Å; angles 90.00, 90.00, 120.00 degrees
Last column: nearest neighbours and their distance in Å.
Space group R3 (No. 146, hexagonal axes)
Symmetry-distinct sites (fractional):
Nd (0.0000, 0.0000, 0.0000)  6 O 2.35-2.50
Nd (0.0000, 0.0000, 0.4993)  6 O 2.35-2.50
Dy (0.0000, 0.0000, 0.2216)  6 O 2.24-2.35
Tm (0.0000, 0.0000, 0.7202)  6 O 2.22-2.30
O (0.0568, 0.3603, 0.7846)  1 Tm 2.22, 1 Dy 2.35, 1 Nd 2.35
O (0.0591, 0.6923, 0.2856)  1 Dy 2.24, 1 Tm 2.30, 2 Nd 2.35-2.50

formation energy (no corrections) = -3453 meV/atom
D(E_F) = 0.0000 states/eV per atom
energy = -8.29 eV/atom

=====

Among the records above, which one has the lowest formation energy (no corrections)? Nd2DyTmO6